No. 1
A plane-wave DFT calculation with GGA-PBE was carried out for crystalline Zr4Zn3Fe at its relaxed geometry.

Cell and atoms, written as extended XYZ:
```
8
Lattice="3.296 0.000 0.000 0.000 3.296 0.000 0.000 0.000 13.293" Properties=species:S:1:pos:R:3 pbc="T T T"
Zn 1.648 1.648 3.252
Zn 1.648 1.648 6.647
Zn 1.648 1.648 10.041
Fe 1.648 1.648 0.000
Zr 0.000 0.000 11.764
Zr 0.000 0.000 1.529
Zr 0.000 0.000 4.944
Zr 0.000 0.000 8.349
```

Values from the calculation:
Space group: P4/mmm (123)
Magnetic moment in μB/cell: 0.5
ΔH_f (0 K) in meV per atom: -248
V in Å³/f.u.: 144.4

***

No. 2
A plane-wave DFT calculation with GGA-PBE was carried out for crystalline CdIn2Ag7 at its relaxed geometry.

Cell and atoms, written as extended XYZ:
```
10
Lattice="-3.894 -0.405 -0.750 0.574 -7.681 1.167 -1.647 2.550 7.174" Properties=species:S:1:pos:R:3 pbc="T T T"
Cd 0.000 0.000 0.000
In -1.787 -5.979 1.910
In -3.181 0.443 5.681
Ag -0.200 -4.115 3.261
Ag -0.873 -1.016 5.081
Ag -2.531 -0.260 2.687
Ag -2.436 -5.276 4.904
Ag -1.948 -2.944 1.111
Ag -3.019 -2.592 6.480
Ag -2.484 -2.768 3.796
```

Values from the calculation:
Space group: Cmmm (65)
Magnetic moment in μB/cell: 0.0
ΔH_f (0 K) in meV per atom: 258
V in Å³/f.u.: 237.0

***

No. 3
A plane-wave DFT calculation with GGA-PBE was carried out for crystalline Mg3CrRe at its relaxed geometry.

Cell and atoms, written as extended XYZ:
```
5
Lattice="5.055 0.000 0.000 0.000 5.055 0.000 0.000 0.000 5.055" Properties=species:S:1:pos:R:3 pbc="T T T"
Re 0.000 0.000 0.000
Mg 0.000 2.528 0.000
Mg 0.000 0.000 2.528
Mg 2.528 0.000 0.000
Cr 2.528 2.528 2.528
```

Values from the calculation:
Space group: Pm-3m (221)
Magnetic moment in μB/cell: 3.9
ΔE to the lowest computed polymorph in eV/atom: 0.000
ΔH_f (0 K) in meV per atom: 1280
V in Å³/f.u.: 129.2

***

No. 4
A plane-wave DFT calculation with GGA-PBE was carried out for crystalline TiMnCrRu at its relaxed geometry.

Cell and atoms, written as extended XYZ:
```
4
Lattice="4.275 0.000 0.000 2.137 3.702 0.000 2.137 1.234 3.490" Properties=species:S:1:pos:R:3 pbc="T T T"
Ru 6.412 3.702 2.618
Mn 4.275 2.468 1.745
Ti 0.000 0.000 0.000
Cr 2.137 1.234 0.873
```

Values from the calculation:
Space group: F-43m (216)
Magnetic moment in μB/cell: 1.2
ΔH_f (0 K) in meV per atom: -162
V in Å³/f.u.: 55.2

***

No. 5
A plane-wave DFT calculation with GGA-PBE was carried out for crystalline CsSmTeS at its relaxed geometry.

Cell and atoms, written as extended XYZ:
```
4
Lattice="-2.106 3.825 0.181 -1.724 -3.537 1.905 6.141 0.573 6.615" Properties=species:S:1:pos:R:3 pbc="T T T"
Cs -0.409 2.582 3.404
Sm 3.646 -0.331 6.669
Te -1.462 -2.936 2.234
S 2.862 1.816 4.931
```

Values from the calculation:
Space group: R3m (160)
Formation energy (no corrections) in meV/atom: -1562
Magnetic moment in μB/cell: 0.0
V in Å³/f.u.: 143.7

***

No. 6
A plane-wave DFT calculation with GGA-PBE was carried out for crystalline Pm10PrTm4 at its relaxed geometry.

Cell and atoms, written as extended XYZ:
```
15
Lattice="6.209 0.000 2.804 3.105 8.981 1.402 -0.591 0.000 9.587" Properties=species:S:1:pos:R:3 pbc="T T T"
Pm 2.809 4.490 6.195
Pm 4.692 3.728 10.386
Pm 6.196 1.446 6.888
Pm 5.569 7.535 8.278
Pm 7.197 5.253 4.836
Pm 4.031 5.253 3.407
Pm 5.913 4.490 7.597
Pm 1.525 3.728 8.956
Pm 3.154 1.446 5.514
Pm 2.526 7.535 6.904
Pr 0.000 0.000 0.000
Tm 5.308 8.005 4.798
Tm 6.020 6.792 11.501
Tm 2.703 2.189 2.291
Tm 3.414 0.976 8.994
```

Values from the calculation:
Space group: I4/m (87)
Magnetic moment in μB/cell: 0.0
ΔH_f (0 K) in meV per atom: 523
V in Å³/f.u.: 549.5

***

No. 7
A plane-wave DFT calculation with GGA-PBE was carried out for crystalline NaAlPO4 at its relaxed geometry.

Cell and atoms, written as extended XYZ:
```
14
Lattice="5.537 0.046 0.000 -2.181 5.089 0.000 0.000 0.000 6.351" Properties=species:S:1:pos:R:3 pbc="T T T"
Na 1.678 2.568 3.176
Na 1.678 2.568 0.000
Al 4.213 0.911 1.588
Al -0.858 4.224 4.764
P -1.370 4.559 1.588
P 4.726 0.576 4.764
O 0.720 0.956 4.764
O 2.769 4.092 4.764
O 3.977 1.066 6.025
O 3.977 1.066 3.502
O -0.622 4.070 0.327
O -0.622 4.070 2.849
O 2.635 4.179 1.588
O 0.586 1.044 1.588
```

Values from the calculation:
Space group: Cmcm (63)
Formation energy (no corrections) in meV/atom: -2074
Magnetic moment in μB/cell: 1.8
V in Å³/f.u.: 89.8

***

No. 8
A plane-wave DFT calculation with GGA-PBE was carried out for crystalline LaBeCdGa2 at its relaxed geometry.

Cell and atoms, written as extended XYZ:
```
5
Lattice="5.820 0.000 0.000 0.000 5.227 0.000 0.000 0.000 5.820" Properties=species:S:1:pos:R:3 pbc="T T T"
Be 0.000 2.613 0.000
Cd 2.910 2.613 2.910
Ga 0.000 0.000 2.910
Ga 2.910 0.000 0.000
La 0.000 0.000 0.000
```

Values from the calculation:
Space group: P4/mmm (123)
Magnetic moment in μB/cell: 0.0
ΔH_f (0 K) in meV per atom: 1116
V in Å³/f.u.: 177.1